# 1
A relaxed AcPuPtO6 crystal, computed with PBE.

CIF file:
```
data_AcPuPtO6
_cell_length_a 5.4238
_cell_length_b 5.4238
_cell_length_c 11.1156
_cell_angle_alpha 90.00
_cell_angle_beta 90.00
_cell_angle_gamma 120.00
_space_group_name_H-M_alt 'P 1'
_space_group_IT_number 1
loop_
_space_group_symop_operation_xyz
'x,y,z'
loop_
_atom_site_label
_atom_site_type_symbol
_atom_site_fract_x
_atom_site_fract_y
_atom_site_fract_z
O1 O 0.6345 0.6486 0.1444
O2 O 0.6486 0.6345 0.6444
O3 O 0.0141 0.6486 0.3556
O4 O 0.6486 0.0141 0.8556
O5 O 0.9859 0.3514 0.6444
O6 O 0.3655 0.3514 0.8556
O7 O 0.3514 0.3655 0.3556
O8 O 0.0141 0.3655 0.1444
O9 O 0.9859 0.6345 0.8556
O10 O 0.6345 0.9859 0.3556
O11 O 0.3514 0.9859 0.1444
O12 O 0.3655 0.0141 0.6444
Pt1 Pt 0.6667 0.3333 0.7500
Pt2 Pt 0.3333 0.6667 0.2500
Ac1 Ac 0.0000 0.0000 0.5000
Ac2 Ac 0.0000 0.0000 0.0000
Pu1 Pu 0.3333 0.6667 0.7500
Pu2 Pu 0.6667 0.3333 0.2500
```

**Total energy**: -8.262 eV/atom


# 2
A relaxed ScAu crystal, computed with PBE.

CIF file:
```
data_ScAu
_cell_length_a 5.8833
_cell_length_b 8.2827
_cell_length_c 9.9554
_cell_angle_alpha 90.00
_cell_angle_beta 90.00
_cell_angle_gamma 90.00
_space_group_name_H-M_alt 'P 1'
_space_group_IT_number 1
loop_
_space_group_symop_operation_xyz
'x,y,z'
loop_
_atom_site_label
_atom_site_type_symbol
_atom_site_fract_x
_atom_site_fract_y
_atom_site_fract_z
Au1 Au 0.0000 0.2500 0.0845
Au2 Au 0.2500 0.9534 0.5721
Au3 Au 0.5000 0.2500 0.0845
Au4 Au 0.7500 0.0466 0.4279
Au5 Au 0.2500 0.8788 0.1479
Au6 Au 0.7500 0.5466 0.5721
Au7 Au 0.7500 0.6212 0.1479
Au8 Au 0.7500 0.1212 0.8521
Au9 Au 0.0000 0.7500 0.9155
Au10 Au 0.5000 0.7500 0.9155
Au11 Au 0.2500 0.4534 0.4279
Au12 Au 0.2500 0.3788 0.8521
Sc1 Sc 0.7500 0.4593 0.8719
Sc2 Sc 0.2500 0.5407 0.1281
Sc3 Sc 0.2500 0.6342 0.6790
Sc4 Sc 0.2500 0.1342 0.3210
Sc5 Sc 0.7500 0.3658 0.3210
Sc6 Sc 0.7500 0.9593 0.1281
Sc7 Sc 0.2500 0.0407 0.8719
Sc8 Sc 0.0000 0.2500 0.6188
Sc9 Sc 0.5000 0.7500 0.3812
Sc10 Sc 0.5000 0.2500 0.6188
Sc11 Sc 0.0000 0.7500 0.3812
Sc12 Sc 0.7500 0.8658 0.6790
```

**Total energy**: -5.511 eV/atom
**DFT formation energy**: -706.6 meV/atom


# 3
A relaxed ZrAlAs3 crystal, computed with PBE.

CIF file:
```
data_ZrAlAs3
_cell_length_a 4.7894
_cell_length_b 4.7894
_cell_length_c 4.7894
_cell_angle_alpha 90.00
_cell_angle_beta 90.00
_cell_angle_gamma 90.00
_space_group_name_H-M_alt 'P 1'
_space_group_IT_number 1
loop_
_space_group_symop_operation_xyz
'x,y,z'
loop_
_atom_site_label
_atom_site_type_symbol
_atom_site_fract_x
_atom_site_fract_y
_atom_site_fract_z
As1 As 0.5000 0.0000 0.0000
As2 As 0.0000 0.5000 0.0000
As3 As 0.0000 0.0000 0.5000
Zr1 Zr 0.5000 0.5000 0.5000
Al1 Al 0.0000 0.0000 0.0000
```

**Total energy**: -4.873 eV/atom
**Energy above the most stable polymorph in this dataset**: 0.054 eV per atom
**DFT formation energy**: 375.3 meV/atom


# 4
A relaxed Hg2OsAuI crystal, computed with PBE.

CIF file:
```
data_Hg2OsAuI
_cell_length_a 5.3810
_cell_length_b 5.2286
_cell_length_c 5.3810
_cell_angle_alpha 90.00
_cell_angle_beta 90.00
_cell_angle_gamma 90.00
_space_group_name_H-M_alt 'P 1'
_space_group_IT_number 1
loop_
_space_group_symop_operation_xyz
'x,y,z'
loop_
_atom_site_label
_atom_site_type_symbol
_atom_site_fract_x
_atom_site_fract_y
_atom_site_fract_z
Au1 Au 0.0000 0.0000 0.0000
Os1 Os 0.0000 0.5000 0.0000
Hg1 Hg 0.5000 0.0000 0.0000
Hg2 Hg 0.0000 0.0000 0.5000
I1 I 0.5000 0.5000 0.5000
```

**Total energy**: -2.261 eV/atom